A plane-wave DFT calculation with GGA-PBE was carried out for RbScI2Cl after structural relaxation.

formation energy from raw total energies = -1.4041 eV/atom
space-group type = P4/mmm, No. 123
size of the total moment = 1.01 Bohr magnetons per cell

Unit cell a=6.003 b=6.003 c=5.072 alpha=90.00 beta=90.00 gamma=90.00
Last column: magnetic moment on the atom in μB.
Fractional positions:
I 0.000 0.500 0.000  0.00
I 0.500 0.000 0.000  0.00
Sc 0.000 0.000 0.000  0.72
Rb 0.500 0.500 0.500  0.00
Cl 0.000 0.000 0.500  -0.02



A plane-wave DFT calculation with GGA-PBE was carried out for Rb8SeI3Cl3 after structural relaxation.

formation energy from raw total energies = -1.5503 eV/atom
space-group type = R-3m, No. 166
size of the total moment = 0.19 Bohr magnetons per cell

Unit cell a=9.945 b=9.949 c=10.298 alpha=118.90 beta=90.00 gamma=119.99
Last column: magnetic moment on the atom in μB.
Fractional positions:
Rb 0.259 0.518 0.278  0.00
Rb 0.741 0.482 0.722  0.00
Rb 0.772 0.545 0.291  0.00
Rb 0.228 0.455 0.709  0.00
Rb 0.772 0.019 0.291  0.00
Rb 0.228 0.981 0.709  0.00
Rb 0.246 0.019 0.291  0.00
Rb 0.754 0.981 0.709  0.00
Se 0.000 0.000 0.500  0.09
I 0.000 0.000 0.000  0.00
I 0.000 0.500 0.000  0.00
I 0.500 0.500 0.000  0.00
Cl 0.500 0.000 0.500  0.00
Cl 0.500 0.500 0.500  0.00
Cl 0.000 0.500 0.500  0.00



A plane-wave DFT calculation with GGA-PBE was carried out for RbSeICl2 after structural relaxation.

formation energy from raw total energies = -0.7120 eV/atom
space-group type = P4/mmm, No. 123
size of the total moment = 0.00 Bohr magnetons per cell

Unit cell a=5.492 b=5.492 c=5.555 alpha=90.00 beta=90.00 gamma=90.00
Fractional positions:
I 0.000 0.000 0.500
Se 0.000 0.000 0.000
Rb 0.500 0.500 0.500
Cl 0.000 0.500 0.000
Cl 0.500 0.000 0.000



A plane-wave DFT calculation with GGA-PBE was carried out for Rb2SiI6Cl after structural relaxation.

formation energy from raw total energies = -0.6376 eV/atom
space-group type = I4/mmm, No. 139
size of the total moment = 0.00 Bohr magnetons per cell

Unit cell a=8.551 b=8.551 c=8.287 alpha=58.94 beta=58.94 gamma=90.00
Fractional positions:
I 0.259 0.259 0.483
I 0.741 0.741 0.517
I 0.277 0.277 0.000
I 0.723 0.723 0.000
I 0.723 0.277 0.000
I 0.277 0.723 0.000
Si 0.500 0.500 0.000
Rb 0.750 0.250 0.500
Rb 0.250 0.750 0.500
Cl 0.000 0.000 0.000



A plane-wave DFT calculation with GGA-PBE was carried out for Rb2SnICl6 after structural relaxation.

formation energy from raw total energies = -1.1481 eV/atom
space-group type = I4/mmm, No. 139
size of the total moment = 1.00 Bohr magnetons per cell

Unit cell a=8.341 b=8.341 c=8.062 alpha=58.85 beta=58.85 gamma=90.00
Last column: magnetic moment on the atom in μB.
Fractional positions:
I 0.000 0.000 0.000  0.47
Sn 0.500 0.500 0.000  0.04
Rb 0.750 0.250 0.500  0.00
Rb 0.250 0.750 0.500  0.00
Cl 0.271 0.271 0.459  0.06
Cl 0.729 0.729 0.541  0.06
Cl 0.290 0.290 0.000  0.03
Cl 0.710 0.710 0.000  0.03
Cl 0.710 0.290 0.000  0.03
Cl 0.290 0.710 0.000  0.03



A plane-wave DFT calculation with GGA-PBE was carried out for Rb2SnICl after structural relaxation.

formation energy from raw total energies = -0.5399 eV/atom
space-group type = P4/mmm, No. 123
size of the total moment = 1.30 Bohr magnetons per cell

Unit cell a=5.948 b=7.382 c=5.948 alpha=90.00 beta=90.00 gamma=90.00
Last column: magnetic moment on the atom in μB.
Fractional positions:
I 0.000 0.500 0.000  -0.02
Sn 0.500 0.500 0.500  0.46
Rb 0.000 0.000 0.500  0.01
Rb 0.500 0.000 0.000  0.00
Cl 0.000 0.000 0.000  0.00



A plane-wave DFT calculation with GGA-PBE was carried out for Rb3Sn2I2Cl5 after structural relaxation.

formation energy from raw total energies = -1.3538 eV/atom
space-group type = I4/mmm, No. 139
size of the total moment = 0.00 Bohr magnetons per cell

Unit cell a=5.602 b=5.602 c=15.411 alpha=100.47 beta=100.47 gamma=90.00
Fractional positions:
Rb 0.173 0.173 0.346
Rb 0.827 0.827 0.654
Rb 0.000 0.000 0.000
Sn 0.405 0.405 0.811
Sn 0.595 0.595 0.189
I 0.701 0.701 0.401
I 0.299 0.299 0.599
Cl 0.591 0.091 0.183
Cl 0.409 0.909 0.817
Cl 0.091 0.591 0.183
Cl 0.909 0.409 0.817
Cl 0.500 0.500 0.000



A plane-wave DFT calculation with GGA-PBE was carried out for Rb2SnI2Cl4 after structural relaxation.

formation energy from raw total energies = -1.2543 eV/atom
space-group type = I4/mmm, No. 139
size of the total moment = 0.00 Bohr magnetons per cell

Unit cell a=7.722 b=7.722 c=7.722 alpha=92.17 beta=118.76 gamma=118.76
Fractional positions:
Rb 0.500 0.750 0.250
Rb 0.500 0.250 0.750
Sn 0.000 0.000 0.000
I 0.000 0.734 0.734
I 0.000 0.266 0.266
Cl 0.000 0.776 0.224
Cl 0.551 0.776 0.776
Cl 0.000 0.224 0.776
Cl 0.449 0.224 0.224



no.,calculated volume (Å³ per cell)
1,182.8
2,732.3
3,167.5
4,414.4
5,382.4
6,261.2
7,467.5
8,331.4